Entry 1:
# KMgSnS3

KMgSnS3 after structural relaxation (PBE, the Alexandria database).

## Properties
raw formation energy: -910 meV/atom
E: -4.089 eV per atom
spin magnetization: 0.0 μB per formula unit

Lattice parameters (Å, degrees): 9.236 3.950 9.565 90.00 104.07 90.00
Fractional coordinates of all 12 atoms:
K1 0.198 0.250 0.230
K2 0.802 0.750 0.770
Mg1 0.097 0.250 0.607
Mg2 0.903 0.750 0.393
Sn1 0.345 0.750 0.873
Sn2 0.655 0.250 0.127
S1 0.141 0.250 0.870
S2 0.180 0.750 0.500
S3 0.450 0.750 0.148
S4 0.550 0.250 0.852
S5 0.820 0.250 0.500
S6 0.859 0.750 0.130

Entry 2:
# SmMgZrSc

SmMgZrSc after structural relaxation (PBE, the Alexandria database).

## Properties
E: -5.176 eV per atom
spin magnetization: 1.0 μB per formula unit

Lattice parameters (Å, degrees): 7.399 7.399 7.399 90.00 90.00 90.00
Fractional coordinates of all 16 atoms:
Sm1 0.000 0.000 0.000
Sm2 0.000 0.500 0.500
Sm3 0.500 0.000 0.500
Sm4 0.500 0.500 0.000
Mg1 0.250 0.250 0.750
Mg2 0.250 0.750 0.250
Mg3 0.750 0.250 0.250
Mg4 0.750 0.750 0.750
Zr1 0.000 0.000 0.500
Zr2 0.000 0.500 0.000
Zr3 0.500 0.000 0.000
Zr4 0.500 0.500 0.500
Sc1 0.250 0.250 0.250
Sc2 0.250 0.750 0.750
Sc3 0.750 0.250 0.750
Sc4 0.750 0.750 0.250

Entry 3:
# CaGa

CaGa after structural relaxation (PBE, the Alexandria database).

## Properties
E: -2.695 eV per atom
spin magnetization: 0.0 μB per formula unit

Lattice parameters (Å, degrees): 6.097 6.097 6.114 90.00 90.00 90.00
Fractional coordinates of all 8 atoms:
Ca1 0.188 0.188 0.000
Ca2 0.312 0.688 0.500
Ca3 0.688 0.312 0.500
Ca4 0.812 0.812 0.000
Ga1 0.155 0.155 0.500
Ga2 0.345 0.655 0.000
Ga3 0.655 0.345 0.000
Ga4 0.845 0.845 0.500

Entry 4:
# NbSiMo

NbSiMo after structural relaxation (PBE, the Alexandria database).

## Properties
raw formation energy: -272 meV/atom
E: -9.047 eV per atom
spin magnetization: 0.0 μB per formula unit

Lattice parameters (Å, degrees): 4.307 8.312 5.276 90.00 90.00 90.00
Fractional coordinates of all 12 atoms:
Nb1 0.000 0.000 0.000
Nb2 0.000 0.000 0.500
Nb3 0.500 0.500 0.000
Nb4 0.500 0.500 0.500
Si1 0.000 0.363 0.250
Si2 0.000 0.637 0.750
Si3 0.500 0.137 0.750
Si4 0.500 0.863 0.250
Mo1 0.000 0.301 0.750
Mo2 0.000 0.699 0.250
Mo3 0.500 0.199 0.250
Mo4 0.500 0.801 0.750

Entry 5:
# SrTbSm2S4

SrTbSm2S4 after structural relaxation (PBE, the Alexandria database).

## Properties
raw formation energy: -2013 meV/atom
E: -6.046 eV per atom
spin magnetization: 0.0 μB per formula unit

Lattice parameters (Å, degrees): 7.008 4.019 7.018 90.00 109.08 90.00
Fractional coordinates of all 8 atoms:
Sr1 0.000 0.000 0.000
Tb1 0.500 0.500 0.000
Sm1 0.000 0.500 0.500
Sm2 0.500 0.000 0.500
S1 0.258 0.000 0.752
S2 0.260 0.500 0.254
S3 0.740 0.500 0.746
S4 0.742 0.000 0.248

Entry 6:
# TaSnSb2I

TaSnSb2I after structural relaxation (PBE, the Alexandria database).

## Properties
raw formation energy: 501 meV/atom
E: -4.629 eV per atom
spin magnetization: 0.0 μB per formula unit

Lattice parameters (Å, degrees): 5.397 5.397 5.610 90.00 90.00 90.00
Fractional coordinates of all 5 atoms:
Ta1 0.000 0.000 0.000
Sn1 0.500 0.500 0.500
Sb1 0.000 0.500 0.000
Sb2 0.500 0.000 0.000
I1 0.000 0.000 0.500

Entry 7:
# Mg4HgAu

Mg4HgAu after structural relaxation (PBE, the Alexandria database).

## Properties
E: -2.018 eV per atom
spin magnetization: 0.0 μB per formula unit

Lattice parameters (Å, degrees): 4.566 8.708 6.165 90.00 90.00 90.00
Fractional coordinates of all 12 atoms:
Mg1 0.000 0.044 0.000
Mg2 0.000 0.299 0.360
Mg3 0.000 0.701 0.860
Mg4 0.000 0.956 0.500
Mg5 0.500 0.184 0.708
Mg6 0.500 0.448 0.092
Mg7 0.500 0.552 0.592
Mg8 0.500 0.816 0.208
Hg1 0.000 0.372 0.819
Hg2 0.000 0.628 0.319
Au1 0.500 0.129 0.262
Au2 0.500 0.871 0.762

Entry 8:
# La2NdYHo5

La2NdYHo5 after structural relaxation (PBE, the Alexandria database).

## Properties
E: -4.634 eV per atom
spin magnetization: 0.0 μB per formula unit

Lattice parameters (Å, degrees): 9.998 9.998 9.998 128.43 128.43 75.93
Fractional coordinates of all 18 atoms:
La1 0.117 0.617 0.735
La2 0.383 0.117 0.500
La3 0.617 0.883 0.500
La4 0.883 0.383 0.265
Nd1 0.250 0.250 0.000
Nd2 0.750 0.750 0.000
Y1 0.250 0.750 0.500
Y2 0.750 0.250 0.500
Ho1 0.000 0.000 0.000
Ho2 0.075 0.144 0.500
Ho3 0.144 0.644 0.068
Ho4 0.356 0.425 0.500
Ho5 0.425 0.925 0.068
Ho6 0.500 0.500 0.000
Ho7 0.575 0.075 0.932
Ho8 0.644 0.575 0.500
Ho9 0.856 0.356 0.932
Ho10 0.925 0.856 0.500

Repeat the third record exactly.
# CaGa

CaGa after structural relaxation (PBE, the Alexandria database).

## Properties
E: -2.695 eV per atom
spin magnetization: 0.0 μB per formula unit

Lattice parameters (Å, degrees): 6.097 6.097 6.114 90.00 90.00 90.00
Fractional coordinates of all 8 atoms:
Ca1 0.188 0.188 0.000
Ca2 0.312 0.688 0.500
Ca3 0.688 0.312 0.500
Ca4 0.812 0.812 0.000
Ga1 0.155 0.155 0.500
Ga2 0.345 0.655 0.000
Ga3 0.655 0.345 0.000
Ga4 0.845 0.845 0.500